A relaxed structure of TcHg2As. Source: Alexandria, functional PBE.

a = 5.0391 Å, b = 5.0391 Å, c = 3.1157 Å
α = 90.00°, β = 90.00°, γ = 90.00°
With the nearest neighbours (Å) after each atom.
Fractional coordinates of all 4 atoms:
Tc 0.0000 0.0000 0.0000  8 Hg 2.96, 2 Tc 3.12
Hg 0.0000 0.5000 0.5000  4 As 2.96, 4 Tc 2.96, 2 Hg 3.12
Hg 0.5000 0.0000 0.5000  4 As 2.96, 4 Tc 2.96, 2 Hg 3.12
As 0.5000 0.5000 0.0000  8 Hg 2.96, 2 As 3.12

Computed properties:
Calculated formation energy: 0.761 eV per atom
Total energy: -3.144 eV/atom
Spin magnetization: 1.9 μB/f.u.

***

A relaxed structure of Sm2YSn2. Source: Alexandria, functional PBE.

a = 8.1259 Å, b = 8.1259 Å, c = 4.4891 Å
α = 90.00°, β = 90.00°, γ = 90.00°
With the nearest neighbours (Å) after each atom.
Fractional coordinates of all 10 atoms:
Sm 0.1707 0.3293 0.0000  6 Sn 3.20-3.34
Sm 0.3293 0.8293 0.0000  6 Sn 3.20-3.34
Sm 0.6707 0.1707 0.0000  6 Sn 3.20-3.34
Sm 0.8293 0.6707 0.0000  6 Sn 3.20-3.34
Y 0.0000 0.0000 0.5000  4 Sn 3.18
Y 0.5000 0.5000 0.5000  4 Sn 3.18
Sn 0.1312 0.6312 0.5000  1 Sn 3.02, 2 Y 3.18, 6 Sm 3.20-3.34
Sn 0.3688 0.1312 0.5000  1 Sn 3.02, 2 Y 3.18, 6 Sm 3.20-3.34
Sn 0.6312 0.8688 0.5000  1 Sn 3.02, 2 Y 3.18, 6 Sm 3.20-3.34
Sn 0.8688 0.3688 0.5000  1 Sn 3.02, 2 Y 3.18, 6 Sm 3.20-3.34

Computed properties:
Calculated formation energy: -0.721 eV per atom
Total energy: -5.503 eV/atom
Spin magnetization: 0.0 μB/f.u.

***

A relaxed structure of CsLi2MgTl. Source: Alexandria, functional PBE.

a = 5.6445 Å, b = 5.6445 Å, c = 5.4490 Å
α = 90.00°, β = 90.00°, γ = 90.00°
With the nearest neighbours (Å) after each atom.
Fractional coordinates of all 5 atoms:
Cs 0.0000 0.0000 0.0000  8 Li 3.92, 4 Mg 3.99
Li 0.0000 0.5000 0.5000  2 Tl 2.82
Li 0.5000 0.0000 0.5000  2 Tl 2.82
Mg 0.5000 0.5000 0.0000  2 Tl 2.72
Tl 0.5000 0.5000 0.5000  2 Mg 2.72, 4 Li 2.82

Computed properties:
Calculated formation energy: 0.033 eV per atom
Total energy: -1.696 eV/atom
Spin magnetization: 0.0 μB/f.u.

***

A relaxed structure of SiCI3. Source: Alexandria, functional PBE.

a = 5.0550 Å, b = 5.0550 Å, c = 5.0550 Å
α = 90.00°, β = 90.00°, γ = 90.00°
With the nearest neighbours (Å) after each atom.
Fractional coordinates of all 5 atoms:
Si 0.0000 0.0000 0.0000  12 I 3.57
C 0.5000 0.5000 0.5000  6 I 2.53
I 0.0000 0.5000 0.5000  2 C 2.53
I 0.5000 0.0000 0.5000  2 C 2.53
I 0.5000 0.5000 0.0000  2 C 2.53

Computed properties:
Formation energy without anion corrections: 6.86 eV per formula unit
Total energy: -2.487 eV/atom
Spin magnetization: 0.0 μB/f.u.

***

A relaxed structure of SrRhSe2O8. Source: Alexandria, functional PBE.

a = 7.6748 Å, b = 7.6748 Å, c = 7.6748 Å
α = 39.08°, β = 39.08°, γ = 39.08°
With the nearest neighbours (Å) after each atom.
Fractional coordinates of all 12 atoms:
Sr 0.0000 0.0000 0.0000  12 O 2.90-2.99
Rh 0.5000 0.5000 0.5000  6 O 2.02
Se 0.2349 0.2349 0.2349  4 O 1.68-1.82
Se 0.7651 0.7651 0.7651  4 O 1.68-1.82
O 0.1328 0.4322 0.7652  1 Se 1.82, 1 Rh 2.02
O 0.2348 0.8672 0.5678  1 Se 1.82, 1 Rh 2.02
O 0.3138 0.3138 0.3138  1 Se 1.68
O 0.4322 0.7652 0.1328  1 Se 1.82, 1 Rh 2.02
O 0.5678 0.2348 0.8672  1 Se 1.82, 1 Rh 2.02
O 0.6862 0.6862 0.6862  1 Se 1.68
O 0.7652 0.1328 0.4322  1 Se 1.82, 1 Rh 2.02
O 0.8672 0.5678 0.2348  1 Se 1.82, 1 Rh 2.02

Computed properties:
Formation energy without anion corrections: -11.60 eV per formula unit
Total energy: -5.605 eV/atom
Spin magnetization: 1.0 μB/f.u.

***

A relaxed structure of SbHBr2. Source: Alexandria, functional PBE.

a = 6.2172 Å, b = 6.2172 Å, c = 6.2172 Å
α = 49.86°, β = 49.86°, γ = 49.86°
With the nearest neighbours (Å) after each atom.
Fractional coordinates of all 4 atoms:
Sb 0.0000 0.0000 0.0000  6 Br 3.19
H 0.5000 0.5000 0.5000  2 Br 1.72
Br 0.3946 0.3946 0.3946  1 H 1.72
Br 0.6054 0.6054 0.6054  1 H 1.72

Computed properties:
Total energy: -2.476 eV/atom
Spin magnetization: 0.0 μB/f.u.

***

A relaxed structure of MgMo2W. Source: Alexandria, functional PBE.

a = 9.9801 Å, b = 9.9801 Å, c = 9.9801 Å
α = 16.16°, β = 16.16°, γ = 16.16°
With the nearest neighbours (Å) after each atom.
Fractional coordinates of all 4 atoms:
Mg 0.0000 0.0000 0.0000  6 Mg 2.81, 6 Mo 2.99
Mo 0.2483 0.2483 0.2483  6 Mo 2.81, 3 W 2.91, 3 Mg 2.99
Mo 0.7517 0.7517 0.7517  6 Mo 2.81, 3 W 2.91, 3 Mg 2.99
W 0.5000 0.5000 0.5000  6 W 2.81, 6 Mo 2.91

Computed properties:
Calculated formation energy: 0.445 eV per atom
Total energy: -8.608 eV/atom
Spin magnetization: 0.0 μB/f.u.

***

A relaxed structure of K2TlTc. Source: Alexandria, functional PBE.

a = 5.5866 Å, b = 5.5866 Å, c = 5.5866 Å
α = 120.15°, β = 120.15°, γ = 89.74°
With the nearest neighbours (Å) after each atom.
Fractional coordinates of all 4 atoms:
K 0.0000 0.0000 0.0000  4 K 3.42, 4 Tc 3.42
K 0.7500 0.2500 0.5000  4 Tl 3.42, 4 K 3.42
Tl 0.5000 0.5000 0.0000  4 K 3.42, 4 Tc 3.42
Tc 0.2500 0.7500 0.5000  4 Tl 3.42, 4 K 3.42

Computed properties:
Calculated formation energy: 0.960 eV per atom
Total energy: -2.772 eV/atom
Spin magnetization: 3.2 μB/f.u.